Density functional theory data (PBE-GGA) for a geometry-optimized CeTa2S6 structure.

Lattice parameters (Å, degrees): 6.3964 6.3964 8.3995 118.42 118.42 44.83
Element x y z (fractional)
Ce1 0.0000 0.0000 0.0000
Ta1 0.1934 0.1934 0.5783
Ta2 0.8066 0.8066 0.4217
S1 0.0277 0.0277 0.6907
S2 0.2917 0.2917 0.3820
S3 0.3499 0.3499 0.9060
S4 0.6501 0.6501 0.0940
S5 0.7083 0.7083 0.6180
S6 0.9723 0.9723 0.3093

- space-group type = No. 12
- energy (eV per atom) = -7.173
- total magnetic moment (μB/atom) = 0.08



Density functional theory data (PBE-GGA) for a geometry-optimized TbCe2S3 structure.

Lattice parameters (Å, degrees): 6.9093 6.9093 6.9093 146.56 131.81 59.92
Element x y z (fractional)
Tb1 0.0000 0.0000 0.0000
Ce1 0.3326 0.3326 0.0000
Ce2 0.6674 0.6674 0.0000
S1 0.1622 0.6622 0.5000
S2 0.5000 0.0000 0.5000
S3 0.8378 0.3378 0.5000

- space-group type = No. 71
- energy (eV per atom) = -6.851
- total magnetic moment (μB/atom) = 0.12



Density functional theory data (PBE-GGA) for a geometry-optimized TbCe3S6 structure.

Lattice parameters (Å, degrees): 8.2542 8.2542 8.2542 91.70 91.70 91.70
Element x y z (fractional)
Tb1 0.0000 0.0000 0.0000
Tb2 0.5000 0.5000 0.5000
Ce1 0.0694 0.5764 0.7508
Ce2 0.2492 0.9306 0.4236
Ce3 0.4236 0.2492 0.9306
Ce4 0.5764 0.7508 0.0694
Ce5 0.7508 0.0694 0.5764
Ce6 0.9306 0.4236 0.2492
S1 0.0387 0.9088 0.6856
S2 0.0912 0.3144 0.9613
S3 0.1881 0.5863 0.4244
S4 0.3144 0.9613 0.0912
S5 0.4137 0.5756 0.8119
S6 0.4244 0.1881 0.5863
S7 0.5756 0.8119 0.4137
S8 0.5863 0.4244 0.1881
S9 0.6856 0.0387 0.9088
S10 0.8119 0.4137 0.5756
S11 0.9088 0.6856 0.0387
S12 0.9613 0.0912 0.3144

- space-group type = No. 148
- ΔE to the lowest computed polymorph (eV/atom) = 0.000
- total magnetic moment (μB/atom) = 0.30



Density functional theory data (PBE-GGA) for a geometry-optimized TbCe4S7 structure.

Lattice parameters (Å, degrees): 6.9300 6.9300 11.7599 104.73 104.73 33.03
Element x y z (fractional)
Tb1 0.0000 0.0000 0.0000
Ce1 0.1138 0.1138 0.4211
Ce2 0.2271 0.2271 0.8472
Ce3 0.4155 0.4155 0.6141
Ce4 0.8128 0.8128 0.2312
S1 0.0717 0.0717 0.6379
S2 0.1552 0.1552 0.2037
S3 0.3810 0.3810 0.0710
S4 0.4552 0.4552 0.3712
S5 0.6101 0.6101 0.9246
S6 0.7722 0.7722 0.4743
S7 0.8537 0.8537 0.7774

- space-group type = No. 8
- energy (eV per atom) = -6.774
- total magnetic moment (μB/atom) = 0.35



Density functional theory data (PBE-GGA) for a geometry-optimized Tb3Ce5S8 structure.

Lattice parameters (Å, degrees): 7.9847 7.9847 7.9847 59.78 59.78 59.78
Element x y z (fractional)
Tb1 0.0000 0.5000 0.5000
Tb2 0.5000 0.0000 0.5000
Tb3 0.5000 0.5000 0.0000
Ce1 0.0000 0.0000 0.0000
Ce2 0.0000 0.0000 0.5000
Ce3 0.0000 0.5000 0.0000
Ce4 0.5000 0.0000 0.0000
Ce5 0.5000 0.5000 0.5000
S1 0.2500 0.2500 0.7434
S2 0.2500 0.7434 0.2500
S3 0.2531 0.2531 0.2531
S4 0.2566 0.7500 0.7500
S5 0.7434 0.2500 0.2500
S6 0.7469 0.7469 0.7469
S7 0.7500 0.2566 0.7500
S8 0.7500 0.7500 0.2566

- space-group type = No. 166
- energy (eV per atom) = -6.826
- total magnetic moment (μB/atom) = 0.18



Density functional theory data (PBE-GGA) for a geometry-optimized Tb4CeS6 structure.

Lattice parameters (Å, degrees): 6.7750 6.7750 19.8546 90.00 90.00 146.54
Element x y z (fractional)
Tb1 0.0919 0.9081 0.6272
Tb2 0.0919 0.9081 0.8728
Tb3 0.3611 0.6389 0.5406
Tb4 0.3611 0.6389 0.9594
Tb5 0.6389 0.3611 0.0406
Tb6 0.6389 0.3611 0.4594
Tb7 0.9081 0.0919 0.1272
Tb8 0.9081 0.0919 0.3728
Ce1 0.1554 0.8446 0.2500
Ce2 0.8446 0.1554 0.7500
S1 0.0000 0.0000 0.0000
S2 0.0000 0.0000 0.5000
S3 0.1871 0.8129 0.7500
S4 0.2685 0.7315 0.0894
S5 0.2685 0.7315 0.4106
S6 0.4536 0.5464 0.6663
S7 0.4536 0.5464 0.8337
S8 0.5464 0.4536 0.1663
S9 0.5464 0.4536 0.3337
S10 0.7315 0.2685 0.5894
S11 0.7315 0.2685 0.9106
S12 0.8129 0.1871 0.2500

- space-group type = No. 63
- energy (eV per atom) = -6.519
- total magnetic moment (μB/atom) = 0.09



Density functional theory data (PBE-GGA) for a geometry-optimized TbCe2S5 structure.

Lattice parameters (Å, degrees): 11.8744 8.0946 7.4238 90.00 90.00 90.00
Element x y z (fractional)
Tb1 0.0080 0.2500 0.0756
Tb2 0.4920 0.7500 0.5756
Tb3 0.5080 0.2500 0.4244
Tb4 0.9920 0.7500 0.9244
Ce1 0.1796 0.9998 0.5143
Ce2 0.1796 0.5002 0.5143
Ce3 0.3204 0.0002 0.0143
Ce4 0.3204 0.4998 0.0143
Ce5 0.6796 0.9998 0.9857
Ce6 0.6796 0.5002 0.9857
Ce7 0.8204 0.0002 0.4857
Ce8 0.8204 0.4998 0.4857
S1 0.0029 0.2500 0.4628
S2 0.1032 0.5404 0.1615
S3 0.1032 0.9596 0.1615
S4 0.1866 0.2500 0.8258
S5 0.2139 0.7500 0.7970
S6 0.2861 0.2500 0.2970
S7 0.3134 0.7500 0.3258
S8 0.3968 0.0404 0.6615
S9 0.3968 0.4596 0.6615
S10 0.4971 0.7500 0.9628
S11 0.5029 0.2500 0.0372
S12 0.6032 0.5404 0.3385
S13 0.6032 0.9596 0.3385
S14 0.6866 0.2500 0.6742
S15 0.7139 0.7500 0.7030
S16 0.7861 0.2500 0.2030
S17 0.8134 0.7500 0.1742
S18 0.8968 0.0404 0.8385
S19 0.8968 0.4596 0.8385
S20 0.9971 0.7500 0.5372

- space-group type = No. 62
- energy (eV per atom) = -6.600
- total magnetic moment (μB/atom) = 0.13



Density functional theory data (PBE-GGA) for a geometry-optimized Tb3CeS4 structure.

Lattice parameters (Å, degrees): 5.5872 5.5872 5.5872 90.00 90.00 90.00
Element x y z (fractional)
Tb1 0.0000 0.0000 0.5000
Tb2 0.0000 0.5000 0.0000
Tb3 0.5000 0.0000 0.0000
Ce1 0.5000 0.5000 0.5000
S1 0.0000 0.0000 0.0000
S2 0.0000 0.5000 0.5000
S3 0.5000 0.0000 0.5000
S4 0.5000 0.5000 0.0000

- space-group type = No. 221
- ΔE to the lowest computed polymorph (eV/atom) = 0.008
- total magnetic moment (μB/atom) = 0.09



Density functional theory data (PBE-GGA) for a geometry-optimized Tb2Ce3S8 structure.

Lattice parameters (Å, degrees): 8.1407 8.1407 7.1239 108.82 108.82 60.94
Element x y z (fractional)
Tb1 0.2421 0.2421 0.4554
Tb2 0.7579 0.7579 0.5446
Ce1 0.2433 0.7567 0.5000
Ce2 0.5000 0.5000 0.0000
Ce3 0.7567 0.2433 0.5000
S1 0.1305 0.1305 0.6891
S2 0.1453 0.5992 0.7221
S3 0.3842 0.3842 0.2550
S4 0.4008 0.8547 0.2779
S5 0.5992 0.1453 0.7221
S6 0.6158 0.6158 0.7450
S7 0.8547 0.4008 0.2779
S8 0.8695 0.8695 0.3109

- space-group type = No. 12
- energy (eV per atom) = -6.568
- total magnetic moment (μB/atom) = 0.16



Density functional theory data (PBE-GGA) for a geometry-optimized Tb3Ce4S8 structure.

Lattice parameters (Å, degrees): 7.9550 7.9550 7.9456 119.93 119.93 90.03
Element x y z (fractional)
Tb1 0.0000 0.0000 0.0000
Tb2 0.0000 0.5000 0.5000
Tb3 0.5000 0.0000 0.5000
Ce1 0.0000 0.0000 0.5000
Ce2 0.0000 0.5000 0.0000
Ce3 0.5000 0.0000 0.0000
Ce4 0.5000 0.5000 0.0000
S1 0.2468 0.7532 0.0000
S2 0.2489 0.2489 0.0049
S3 0.2500 0.2500 0.4943
S4 0.2525 0.7475 0.5000
S5 0.7475 0.2525 0.5000
S6 0.7500 0.7500 0.5057
S7 0.7511 0.7511 0.9951
S8 0.7532 0.2468 0.0000

- space-group type = No. 12
- energy (eV per atom) = -6.729
- total magnetic moment (μB/atom) = 0.27



Density functional theory data (PBE-GGA) for a geometry-optimized Tb2CeS structure.

Lattice parameters (Å, degrees): 10.3335 10.3335 10.3335 20.22 20.22 20.22
Element x y z (fractional)
Tb1 0.1113 0.1113 0.1113
Tb2 0.8887 0.8887 0.8887
Ce1 0.0000 0.0000 0.0000
S1 0.5000 0.5000 0.5000

- space-group type = No. 166
- energy (eV per atom) = -5.524
- total magnetic moment (μB/atom) = 0.29



Density functional theory data (PBE-GGA) for a geometry-optimized TbCe3S6 structure.

Lattice parameters (Å, degrees): 6.8176 7.4325 12.1910 90.00 123.67 90.00
Element x y z (fractional)
Tb1 0.0000 0.0000 0.0000
Tb2 0.0000 0.5000 0.5000
Ce1 0.2119 0.0929 0.7504
Ce2 0.2119 0.4071 0.2504
Ce3 0.5000 0.0000 0.5000
Ce4 0.5000 0.5000 0.0000
Ce5 0.7881 0.5929 0.7496
Ce6 0.7881 0.9071 0.2496
S1 0.0961 0.1886 0.4202
S2 0.0961 0.3114 0.9202
S3 0.2402 0.6845 0.4215
S4 0.2402 0.8155 0.9215
S5 0.4020 0.0659 0.2466
S6 0.4020 0.4341 0.7466
S7 0.5980 0.5659 0.2534
S8 0.5980 0.9341 0.7534
S9 0.7598 0.1845 0.0785
S10 0.7598 0.3155 0.5785
S11 0.9039 0.6886 0.0798
S12 0.9039 0.8114 0.5798

- space-group type = No. 14
- ΔE to the lowest computed polymorph (eV/atom) = 0.028
- total magnetic moment (μB/atom) = 0.30



Question: The lowest total magnetic moment belongs to which entry?
Answer: CeTa2S6